Material: TeRh8
Method: DFT, PBE-GGA
State: optimized geometry

abc: 6.1605 6.1605 6.1605
angles: 95.83 95.83 142.83
Atoms (fractional coordinates):
Te 0.0000 0.0000 0.0000
Rh 0.0000 0.3370 0.3370
Rh 0.0000 0.6630 0.6630
Rh 0.3297 0.3297 0.6594
Rh 0.3297 0.6703 0.0000
Rh 0.3370 0.0000 0.3370
Rh 0.6630 0.0000 0.6630
Rh 0.6703 0.3297 0.0000
Rh 0.6703 0.6703 0.3406

Space-group type: I4/mmm, No. 139
Density (g/cm³): 11.79
Magnetic moment (μB per formula unit): 0.01

Material: TeRh
Method: DFT, PBE-GGA
State: optimized geometry

abc: 6.8593 6.8593 6.8593
angles: 109.47 109.47 109.47
Atoms (fractional coordinates):
Te 0.0000 0.0000 0.3757
Te 0.0000 0.3757 0.0000
Te 0.3757 0.0000 0.0000
Te 0.6243 0.6243 0.6243
Rh 0.0000 0.0000 0.7389
Rh 0.0000 0.7389 0.0000
Rh 0.2611 0.2611 0.2611
Rh 0.7389 0.0000 0.0000

Space-group type: I-43m, No. 217
Density (g/cm³): 6.16
Magnetic moment (μB per formula unit): 0.00

Material: Te2Rh3
Method: DFT, PBE-GGA
State: optimized geometry

abc: 6.7466 6.3835 8.5882
angles: 51.01 47.34 81.65
Atoms (fractional coordinates):
Te 0.1189 0.8811 0.2830
Te 0.5330 0.9670 0.3689
Te 0.8811 0.1189 0.7170
Te 0.9670 0.5330 0.1311
Rh 0.0586 0.0586 0.9414
Rh 0.3086 0.3086 0.1914
Rh 0.4526 0.5948 0.3151
Rh 0.5948 0.4526 0.6375
Rh 0.6125 0.9349 0.6552
Rh 0.9349 0.6125 0.7974

Space-group type: Fdd2, No. 43
Density (g/cm³): 10.17
Magnetic moment (μB per formula unit): 0.00

Material: TeRh
Method: DFT, PBE-GGA
State: optimized geometry

abc: 7.3551 7.3467 5.7382
angles: 67.10 66.95 45.95
Atoms (fractional coordinates):
Te 0.1100 0.6400 0.6400
Te 0.3600 0.8900 0.8900
Te 0.6400 0.1100 0.1100
Te 0.8900 0.3600 0.3600
Rh 0.2578 0.2578 0.4922
Rh 0.4922 0.4922 0.2578
Rh 0.5078 0.5078 0.7422
Rh 0.7422 0.7422 0.5078

Space-group type: Fddd, No. 70
Density (g/cm³): 7.59
Magnetic moment (μB per formula unit): 0.00

Material: TeRh
Method: DFT, PBE-GGA
State: optimized geometry

abc: 4.2433 4.2433 6.6450
angles: 90.00 90.00 120.00
Atoms (fractional coordinates):
Te 0.3333 0.6667 0.0000
Te 0.6667 0.3333 0.5000
Rh 0.3333 0.6667 0.6154
Rh 0.6667 0.3333 0.1154

Space-group type: P6_3mc, No. 186
Density (g/cm³): 7.39
Magnetic moment (μB per formula unit): 0.00

Material: TeRh
Method: DFT, PBE-GGA
State: optimized geometry

abc: 9.9001 9.9001 4.1456
angles: 90.00 90.00 120.00
Atoms (fractional coordinates):
Te 0.1190 0.7221 0.2500
Te 0.2779 0.3969 0.2500
Te 0.3969 0.1190 0.7500
Te 0.6031 0.8810 0.2500
Te 0.7221 0.6031 0.7500
Te 0.8810 0.2779 0.7500
Rh 0.0372 0.4275 0.2500
Rh 0.3903 0.9628 0.2500
Rh 0.4275 0.3903 0.7500
Rh 0.5725 0.6097 0.2500
Rh 0.6097 0.0372 0.7500
Rh 0.9628 0.5725 0.7500

Space-group type: P6_3/m, No. 176
Density (g/cm³): 6.53
Magnetic moment (μB per formula unit): 0.00

no.,uncorrected formation energy (eV per formula unit),E (eV per atom),volume (A^3/atom)
1,0.35,-6.845,14.9
2,-0.24,-5.365,31.1
3,-0.48,-5.763,18.4
4,-0.38,-5.437,25.2
5,-0.16,-5.327,25.9
6,-0.42,-5.455,29.3